Here is Sr2Cd4Sn3Pb after structural relaxation from Alexandria. Energies are from GGA-PBE.

```
data_Sr2Cd4Sn3Pb
_chemical_formula_sum 'Sr2 Cd4 Sn3 Pb1'
_space_group_name_H-M_alt 'P 1'
_space_group_IT_number 1
_cell_length_a 4.8751
_cell_length_b 4.8751
_cell_length_c 12.4483
_cell_angle_alpha 90.00
_cell_angle_beta 90.00
_cell_angle_gamma 90.00
loop_
_space_group_symop_operation_xyz
'x,y,z'
loop_
_atom_site_label
_atom_site_type_symbol
_atom_site_fract_x
_atom_site_fract_y
_atom_site_fract_z
_atom_site_occupancy
Pb1 Pb 0.5000 0.5000 0.5000 1
Cd1 Cd 0.5000 0.5000 0.0000 1
Cd2 Cd 0.0000 0.0000 0.0000 1
Cd3 Cd 0.5000 0.0000 0.6413 1
Cd4 Cd 0.0000 0.5000 0.3587 1
Sn1 Sn 0.0000 0.5000 0.1350 1
Sn2 Sn 0.5000 0.0000 0.8650 1
Sn3 Sn 0.0000 0.0000 0.5000 1
Sr1 Sr 0.0000 0.5000 0.7572 1
Sr2 Sr 0.5000 0.0000 0.2428 1
```

**Total energy**: -2.59 eV/atom